A plane-wave DFT calculation with PBE-GGA was carried out for a geometry-optimized ReMo structure.

## Properties
ΔE_f in kJ/mol of formula units: 375
Mass density in g/cm³: 10.1
Relative energy among the computed polymorphs in meV/atom: 1849
V in Å³/atom: 23.23
DFT total energy in eV/atom: -9.698

a b c (Å): 5.7070 5.7070 5.7070
angles (deg): 90.00 90.00 90.00
Last column: nearest neighbours and their distance in Å.
Space group F-43m (No. 216)
Symmetry-distinct sites (fractional):
Re (0.0000, 0.0000, 0.0000) (multiplicity 4)  4 Mo 2.47
Mo (0.2500, 0.2500, 0.2500) (multiplicity 4)  4 Re 2.47

***

A plane-wave DFT calculation with PBE-GGA was carried out for a geometry-optimized NdZnSi2Ni structure.

## Properties
Mass density in g/cm³: 6.4
Formation energy without anion corrections in eV/atom: -0.64
V in Å³/atom: 16.71
DFT total energy in eV/atom: -5.179

a b c (Å): 4.0645 4.0645 10.1161
angles (deg): 90.00 90.00 90.00
Last column: nearest neighbours and their distance in Å.
Space group I-4m2 (No. 119)
Symmetry-distinct sites (fractional):
Nd (0.0000, 0.0000, 0.0000) (multiplicity 2)  8 Si 3.12, 4 Ni 3.24, 4 Zn 3.24
Zn (0.0000, 0.5000, 0.2500) (multiplicity 2)  4 Si 2.42
Si (0.0000, 0.0000, 0.3799) (multiplicity 4)  2 Ni 2.42, 2 Zn 2.42, 1 Si 2.43
Ni (0.0000, 0.5000, 0.7500) (multiplicity 2)  4 Si 2.42